# 1
{
  "formula": "BeGaO2F",
  "functional": "PBEsol",
  "state": "relaxed",
  "lattice": [[3.1607, 0.0000, 0.0000], [0.0000, 3.5911, 0.0000], [0.0000, 0.0000, 3.5911]],
  "species": ["O", "O", "Ga", "Be", "F"],
  "fractional_positions": [[0.0000, 0.5000, 0.0000], [0.0000, 0.0000, 0.5000], [0.5000, 0.5000, 0.5000], [0.0000, 0.0000, 0.0000], [0.5000, 0.0000, 0.0000]],
  "formation_energy_uncorrected_ev_per_atom": -1.540,
  "dft_energy_ev_per_atom": -5.493,
  "dos_ef_per_ev_atom": 0.199
}

***

# 2
{
  "formula": "BeGaO2F",
  "functional": "PBEsol",
  "state": "relaxed",
  "lattice": [[-0.1219, 2.3177, -2.4866], [-3.0955, -2.2469, -1.9426], [-2.9662, 2.1933, 2.1898]],
  "species": ["F", "O", "O", "Ga", "Be"],
  "fractional_positions": [[0.0000, 0.0000, 0.0000], [0.0000, 0.5000, 0.0000], [0.0000, 0.0000, 0.5000], [0.5000, 0.0000, 0.0000], [0.5000, 0.5000, 0.5000]],
  "formation_energy_uncorrected_ev_per_atom": 0.556,
  "dft_energy_ev_per_atom": -3.397,
  "dos_ef_per_ev_atom": 0.403
}

***

# 3
{
  "formula": "YBe2GaF",
  "functional": "PBEsol",
  "state": "relaxed",
  "lattice": [[-1.6041, 3.6051, -0.5865], [0.5662, -0.3874, -3.9298], [-5.1010, -2.3515, -0.5031]],
  "species": ["Ga", "Y", "Be", "Be", "F"],
  "fractional_positions": [[0.0000, 0.0000, 0.0000], [0.0000, 0.0000, 0.5000], [0.5000, 0.0000, 0.0000], [0.0000, 0.5000, 0.0000], [0.5000, 0.5000, 0.5000]],
  "formation_energy_uncorrected_ev_per_atom": -0.253,
  "dft_energy_ev_per_atom": -4.271,
  "dos_ef_per_ev_atom": 0.427
}

***

# 4
{
  "formula": "BeH6N2F4",
  "functional": "PBEsol",
  "state": "relaxed",
  "lattice": [[-4.3199, 3.1533, 1.3090], [-4.6925, -5.7043, -1.7448], [0.6551, -3.4902, 9.6489]],
  "species": ["N", "N", "N", "N", "N", "N", "N", "N", "H", "H", "H", "H", "H", "H", "H", "H", "H", "H", "H", "H", "H", "H", "H", "H", "H", "H", "H", "H", "H", "H", "H", "H", "F", "F", "F", "F", "F", "F", "F", "F", "F", "F", "F", "F", "F", "F", "F", "F", "Be", "Be", "Be", "Be"],
  "fractional_positions": [[0.7231, 0.6175, 0.7224], [0.7231, 0.8825, 0.2224], [0.2769, 0.1175, 0.7776], [0.7280, 0.7619, 0.1156], [0.2720, 0.2381, 0.8844], [0.7280, 0.7381, 0.6156], [0.2769, 0.3825, 0.2776], [0.2720, 0.2619, 0.3844], [0.1969, 0.1395, 0.3530], [0.0975, 0.4065, 0.2406], [0.9025, 0.9065, 0.2594], [0.5452, 0.7698, 0.5855], [0.1969, 0.3605, 0.8530], [0.3821, 0.3217, 0.2052], [0.8331, 0.8116, 0.0362], [0.3552, 0.5037, 0.3090], [0.0975, 0.0935, 0.7406], [0.6179, 0.6783, 0.7948], [0.3552, 0.9963, 0.8090], [0.8331, 0.6884, 0.5362], [0.6448, 0.0037, 0.1910], [0.1669, 0.1884, 0.9638], [0.6179, 0.8217, 0.2948], [0.3821, 0.1783, 0.7052], [0.6448, 0.4963, 0.6910], [0.5452, 0.7302, 0.0855], [0.1669, 0.3116, 0.4638], [0.9025, 0.5935, 0.7594], [0.8031, 0.6395, 0.1470], [0.8031, 0.8605, 0.6470], [0.4548, 0.2698, 0.9145], [0.4548, 0.2302, 0.4145], [0.4461, 0.6841, 0.3684], [0.2908, 0.6457, 0.0588], [0.7092, 0.1457, 0.4412], [0.9970, 0.6624, 0.4211], [0.1595, 0.9391, 0.3229], [0.0030, 0.3376, 0.5789], [0.7092, 0.3543, 0.9412], [0.0030, 0.1624, 0.0789], [0.5539, 0.3159, 0.6316], [0.2908, 0.8543, 0.5588], [0.8405, 0.4391, 0.1771], [0.4461, 0.8159, 0.8684], [0.8405, 0.0609, 0.6771], [0.1595, 0.5609, 0.8229], [0.9970, 0.8376, 0.9211], [0.5539, 0.1841, 0.1316], [0.2187, 0.7863, 0.4225], [0.7813, 0.2137, 0.5775], [0.2187, 0.7137, 0.9225], [0.7813, 0.2863, 0.0775]],
  "dft_energy_ev_per_atom": -5.209,
  "dos_ef_per_ev_atom": 0.000
}

***

# 5
{
  "formula": "BeH6N2F2",
  "functional": "PBEsol",
  "state": "relaxed",
  "lattice": [[-1.6715, 4.5127, -0.1105], [-3.4246, -1.1288, 5.7057], [8.1519, 2.7906, 5.4449]],
  "species": ["N", "N", "N", "N", "N", "N", "N", "N", "H", "H", "H", "H", "H", "H", "H", "H", "H", "H", "H", "H", "H", "H", "H", "H", "H", "H", "H", "H", "H", "H", "H", "H", "F", "F", "F", "F", "F", "F", "F", "F", "Be", "Be", "Be", "Be"],
  "fractional_positions": [[0.7661, 0.8474, 0.6072], [0.2339, 0.3474, 0.8928], [0.2339, 0.1526, 0.3928], [0.7964, 0.4267, 0.6237], [0.7964, 0.0733, 0.1237], [0.2036, 0.5733, 0.3763], [0.2036, 0.9267, 0.8763], [0.7661, 0.6526, 0.1072], [0.0093, 0.0581, 0.1355], [0.7420, 0.6553, 0.0055], [0.2580, 0.3447, 0.9945], [0.2483, 0.6051, 0.4744], [0.2622, 0.6946, 0.3224], [0.7517, 0.3949, 0.5256], [0.6537, 0.9680, 0.6385], [0.2483, 0.8949, 0.9744], [0.6537, 0.5320, 0.1385], [0.7420, 0.8447, 0.5055], [0.2622, 0.8054, 0.8224], [0.7378, 0.1946, 0.1776], [0.9732, 0.8735, 0.6287], [0.3463, 0.0320, 0.3615], [0.9907, 0.5581, 0.3645], [0.9907, 0.9419, 0.8645], [0.3463, 0.4680, 0.8615], [0.7378, 0.3054, 0.6776], [0.0093, 0.4419, 0.6355], [0.0268, 0.3735, 0.8713], [0.0268, 0.1265, 0.3713], [0.9732, 0.6265, 0.1287], [0.2580, 0.1553, 0.4945], [0.7517, 0.1051, 0.0256], [0.6788, 0.6410, 0.8326], [0.3173, 0.8667, 0.1485], [0.3212, 0.3590, 0.1674], [0.6788, 0.8590, 0.3326], [0.6827, 0.3667, 0.3515], [0.6827, 0.1333, 0.8515], [0.3212, 0.1410, 0.6674], [0.3173, 0.6333, 0.6485], [0.3650, 0.3633, 0.3185], [0.6350, 0.8633, 0.1815], [0.6350, 0.6367, 0.6815], [0.3650, 0.1367, 0.8185]],
  "dft_energy_ev_per_atom": -5.294,
  "dos_ef_per_ev_atom": 0.000
}

***

# 6
{
  "formula": "BeH8N2F4",
  "functional": "PBEsol",
  "state": "relaxed",
  "lattice": [[5.9086, 0.0000, 0.0000], [0.0000, 7.7540, 0.0000], [0.0000, 0.0000, 10.3672]],
  "species": ["H", "H", "H", "H", "H", "H", "H", "H", "H", "H", "H", "H", "H", "H", "H", "H", "H", "H", "H", "H", "H", "H", "H", "H", "H", "H", "H", "H", "H", "H", "H", "H", "Be", "Be", "Be", "Be", "F", "F", "F", "F", "F", "F", "F", "F", "F", "F", "F", "F", "F", "F", "F", "F", "N", "N", "N", "N", "N", "N", "N", "N"],
  "fractional_positions": [[0.2500, 0.9345, 0.2017], [0.1112, 0.1668, 0.9831], [0.7500, 0.8995, 0.4414], [0.2500, 0.6005, 0.9414], [0.7500, 0.5655, 0.7017], [0.7500, 0.0655, 0.7983], [0.6082, 0.2065, 0.6987], [0.2500, 0.1005, 0.5586], [0.7500, 0.7130, 0.1241], [0.7500, 0.0301, 0.6395], [0.1112, 0.6667, 0.5169], [0.7500, 0.2130, 0.3759], [0.2500, 0.4345, 0.2983], [0.3918, 0.7935, 0.3013], [0.7500, 0.3995, 0.0586], [0.6112, 0.8332, 0.0169], [0.1082, 0.2935, 0.1987], [0.1082, 0.7935, 0.3013], [0.2500, 0.4699, 0.1395], [0.3888, 0.6667, 0.5169], [0.6082, 0.7065, 0.8013], [0.8888, 0.3332, 0.4831], [0.3888, 0.1668, 0.9831], [0.2500, 0.9699, 0.3605], [0.8888, 0.8332, 0.0169], [0.6112, 0.3332, 0.4831], [0.3918, 0.2935, 0.1987], [0.2500, 0.2870, 0.8759], [0.2500, 0.7870, 0.6241], [0.8918, 0.2065, 0.6987], [0.7500, 0.5301, 0.8605], [0.8918, 0.7065, 0.8013], [0.7500, 0.0151, 0.1734], [0.2500, 0.9849, 0.8266], [0.2500, 0.4849, 0.6734], [0.7500, 0.5151, 0.3266], [0.2500, 0.5302, 0.8227], [0.5304, 0.1165, 0.1457], [0.5304, 0.6165, 0.3543], [0.4696, 0.8835, 0.8543], [0.7500, 0.4698, 0.1773], [0.2500, 0.1369, 0.4643], [0.7500, 0.8631, 0.5357], [0.4696, 0.3835, 0.6457], [0.0304, 0.8835, 0.8543], [0.2500, 0.6369, 0.0357], [0.7500, 0.9698, 0.3227], [0.7500, 0.3631, 0.9643], [0.9696, 0.6165, 0.3543], [0.0304, 0.3835, 0.6457], [0.9696, 0.1165, 0.1457], [0.2500, 0.0302, 0.6773], [0.2500, 0.6692, 0.5778], [0.7500, 0.3308, 0.4222], [0.7500, 0.6267, 0.7898], [0.2500, 0.3733, 0.2102], [0.7500, 0.1267, 0.7102], [0.2500, 0.1692, 0.9222], [0.2500, 0.8733, 0.2898], [0.7500, 0.8308, 0.0778]],
  "dft_energy_ev_per_atom": -5.072,
  "dos_ef_per_ev_atom": 0.000
}

***

# 7
{
  "formula": "Be2NiH20N2O6F8",
  "functional": "PBEsol",
  "state": "relaxed",
  "lattice": [[-2.0696, 2.8130, -4.8885], [-7.1076, -1.4180, 5.5209], [2.0503, 11.0097, 5.4673]],
  "species": ["H", "H", "H", "H", "H", "H", "H", "H", "H", "H", "H", "H", "H", "H", "H", "H", "H", "H", "H", "H", "H", "H", "H", "H", "H", "H", "H", "H", "H", "H", "H", "H", "H", "H", "H", "H", "H", "H", "H", "H", "F", "F", "F", "F", "F", "F", "F", "F", "F", "F", "F", "F", "F", "F", "F", "F", "O", "O", "O", "O", "O", "O", "O", "O", "O", "O", "O", "O", "Be", "Be", "Be", "Be", "N", "N", "N", "N", "Ni", "Ni"],
  "fractional_positions": [[0.5697, 0.2809, 0.1945], [0.6547, 0.0877, 0.9430], [0.6547, 0.5877, 0.5570], [0.2381, 0.0437, 0.6599], [0.5697, 0.7809, 0.3055], [0.4734, 0.4103, 0.1252], [0.6462, 0.8207, 0.4358], [0.3389, 0.7034, 0.5927], [0.5266, 0.0897, 0.6252], [0.9664, 0.6363, 0.3193], [0.6656, 0.4588, 0.6427], [0.1076, 0.2434, 0.8686], [0.0336, 0.8637, 0.8193], [0.6656, 0.9588, 0.8573], [0.3538, 0.6793, 0.9358], [0.7619, 0.9563, 0.3401], [0.4303, 0.7191, 0.8055], [0.3344, 0.5412, 0.3573], [0.8924, 0.2566, 0.3686], [0.5266, 0.5897, 0.8748], [0.6462, 0.3207, 0.0642], [0.3389, 0.2034, 0.9073], [0.4303, 0.2191, 0.6945], [0.8924, 0.7566, 0.1314], [0.3453, 0.9123, 0.0570], [0.7619, 0.4563, 0.1599], [0.1076, 0.7434, 0.6314], [0.9431, 0.2286, 0.5955], [0.0569, 0.2714, 0.0955], [0.6611, 0.7966, 0.0927], [0.3538, 0.1793, 0.5642], [0.9431, 0.7286, 0.9045], [0.3453, 0.4123, 0.4430], [0.2381, 0.5437, 0.8401], [0.9664, 0.1363, 0.1807], [0.4734, 0.9103, 0.3748], [0.0336, 0.3637, 0.6807], [0.0569, 0.7714, 0.4045], [0.3344, 0.0412, 0.1427], [0.6611, 0.2966, 0.4073], [0.6296, 0.2649, 0.9325], [0.7827, 0.5539, 0.9130], [0.3704, 0.7351, 0.0675], [0.2173, 0.9461, 0.4130], [0.5919, 0.8878, 0.7431], [0.0022, 0.1172, 0.3182], [0.4081, 0.6122, 0.2431], [0.0022, 0.6172, 0.1818], [0.4081, 0.1122, 0.2569], [0.3704, 0.2351, 0.4325], [0.2173, 0.4461, 0.0870], [0.6296, 0.7649, 0.5675], [0.7827, 0.0539, 0.5870], [0.5919, 0.3878, 0.7569], [0.9978, 0.3828, 0.8182], [0.9978, 0.8828, 0.6818], [0.9525, 0.6638, 0.3955], [0.6912, 0.4890, 0.5655], [0.3088, 0.0110, 0.0655], [0.1723, 0.1582, 0.8873], [0.6912, 0.9890, 0.9345], [0.0475, 0.8362, 0.8955], [0.0475, 0.3362, 0.6045], [0.1723, 0.6582, 0.6127], [0.3088, 0.5110, 0.4345], [0.8277, 0.3418, 0.3873], [0.9525, 0.1638, 0.1045], [0.8277, 0.8418, 0.1127], [0.2438, 0.1010, 0.3548], [0.7562, 0.3990, 0.8548], [0.7562, 0.8990, 0.6452], [0.2438, 0.6010, 0.1452], [0.6152, 0.8678, 0.3630], [0.3848, 0.1322, 0.6370], [0.6152, 0.3678, 0.1370], [0.3848, 0.6322, 0.8630], [0.0000, 0.0000, 0.0000], [0.0000, 0.5000, 0.5000]],
  "dft_energy_ev_per_atom": -5.142,
  "dos_ef_per_ev_atom": 0.000
}

***

# 8
{
  "formula": "BeHOF2",
  "functional": "PBEsol",
  "state": "relaxed",
  "lattice": [[-0.6955, -0.6181, -2.4189], [3.5308, 0.2071, -1.0681], [0.4481, -3.5820, 0.7864]],
  "species": ["Be", "F", "F", "O", "H"],
  "fractional_positions": [[0.5000, 0.5000, 0.5000], [0.0000, 0.0000, 0.5000], [0.0000, 0.5000, 0.0000], [0.5000, 0.0000, 0.0000], [0.0000, 0.0000, 0.0000]],
  "dft_energy_ev_per_atom": -3.798,
  "dos_ef_per_ev_atom": 0.336
}

***

# 9
{
  "formula": "HfBe2F",
  "functional": "PBEsol",
  "state": "relaxed",
  "lattice": [[-2.2177, -4.5361, -1.5722], [4.5591, 1.4744, -2.2377], [2.0081, 0.2526, 4.8857]],
  "species": ["Hf", "Hf", "Be", "Be", "Be", "Be", "F", "F"],
  "fractional_positions": [[0.5000, 0.7500, 0.2500], [0.0000, 0.0000, 0.0000], [0.3445, 0.4695, 0.6250], [0.8445, 0.3750, 0.7195], [0.6555, 0.2805, 0.1250], [0.1555, 0.8750, 0.5305], [0.0000, 0.5000, 0.5000], [0.5000, 0.2500, 0.7500]],
  "formation_energy_uncorrected_ev_per_atom": -0.163,
  "dft_energy_ev_per_atom": -5.271,
  "dos_ef_per_ev_atom": 0.902
}

***

# 10
{
  "formula": "HfBeF3",
  "functional": "PBEsol",
  "state": "relaxed",
  "lattice": [[3.7860, 0.0000, 0.0000], [0.0000, 3.7860, 0.0000], [0.0000, 0.0000, 3.7860]],
  "species": ["F", "F", "F", "Hf", "Be"],
  "fractional_positions": [[0.5000, 0.0000, 0.0000], [0.0000, 0.0000, 0.5000], [0.0000, 0.5000, 0.0000], [0.5000, 0.5000, 0.5000], [0.0000, 0.0000, 0.0000]],
  "de_polymorph_kj_per_mol_atoms": 38.0,
  "formation_energy_uncorrected_ev_per_atom": -1.424,
  "dft_energy_ev_per_atom": -5.481,
  "dos_ef_per_ev_atom": 0.567
}

***

# 11
{
  "formula": "HfBeF3",
  "functional": "PBEsol",
  "state": "relaxed",
  "lattice": [[-3.2478, -0.8618, -2.4920], [0.4288, -4.0737, 0.8499], [-2.6017, 0.4044, 3.2510]],
  "species": ["F", "F", "F", "Hf", "Be"],
  "fractional_positions": [[0.0000, 0.5000, 0.0000], [0.0000, 0.0000, 0.5000], [0.5000, 0.0000, 0.0000], [0.0000, 0.0000, 0.0000], [0.5000, 0.5000, 0.5000]],
  "de_polymorph_kj_per_mol_atoms": 0.0,
  "formation_energy_uncorrected_ev_per_atom": -1.818,
  "dft_energy_ev_per_atom": -5.875,
  "dos_ef_per_ev_atom": 0.496
}

***

# 12
{
  "formula": "HfBe3F",
  "functional": "PBEsol",
  "state": "relaxed",
  "lattice": [[4.9582, 0.0000, 0.0000], [0.0000, 4.9582, 0.0000], [0.0000, 0.0000, 4.9582]],
  "species": ["Be", "Be", "Be", "Hf", "F"],
  "fractional_positions": [[0.0000, 0.0000, 0.5000], [0.0000, 0.5000, 0.0000], [0.5000, 0.0000, 0.0000], [0.0000, 0.0000, 0.0000], [0.5000, 0.5000, 0.5000]],
  "formation_energy_uncorrected_ev_per_atom": 1.802,
  "dft_energy_ev_per_atom": -3.084,
  "dos_ef_per_ev_atom": 0.863
}

***

# 13
{
  "formula": "BeHg2F",
  "functional": "PBEsol",
  "state": "relaxed",
  "lattice": [[-2.4438, 2.6735, -4.2642], [-2.2680, -5.1108, 0.1974], [-5.5085, -0.1354, 0.9701]],
  "species": ["Hg", "Hg", "Hg", "Hg", "F", "F", "Be", "Be"],
  "fractional_positions": [[0.4855, 0.6250, 0.3895], [0.0145, 0.3895, 0.1250], [0.9855, 0.8605, 0.6250], [0.5145, 0.1250, 0.8605], [0.0000, 0.0000, 0.0000], [0.5000, 0.2500, 0.2500], [0.5000, 0.7500, 0.7500], [0.0000, 0.5000, 0.5000]],
  "formation_energy_uncorrected_ev_per_atom": -0.277,
  "dft_energy_ev_per_atom": -2.042,
  "dos_ef_per_ev_atom": 0.276
}

***

# 14
{
  "formula": "BeHgF2",
  "functional": "PBEsol",
  "state": "relaxed",
  "lattice": [[-1.0543, -2.1669, -1.2862], [1.6518, -1.8004, -1.2211], [0.6679, -6.1630, 6.9354]],
  "species": ["Hg", "Be", "F", "F"],
  "fractional_positions": [[0.0000, 0.0000, 0.0000], [0.5000, 0.5000, 0.5000], [0.8648, 0.8648, 0.4055], [0.1352, 0.1352, 0.5945]],
  "formation_energy_uncorrected_ev_per_atom": -2.076,
  "dft_energy_ev_per_atom": -4.181,
  "dos_ef_per_ev_atom": 0.140
}

***

# 15
{
  "formula": "Mn2BeHgF",
  "functional": "PBEsol",
  "state": "relaxed",
  "lattice": [[4.6010, 0.0000, 0.0000], [0.0000, 5.0568, 0.0000], [0.0000, 0.0000, 5.0568]],
  "species": ["Mn", "Mn", "Be", "F", "Hg"],
  "fractional_positions": [[0.0000, 0.5000, 0.0000], [0.0000, 0.0000, 0.5000], [0.5000, 0.5000, 0.5000], [0.5000, 0.0000, 0.0000], [0.0000, 0.0000, 0.0000]],
  "formation_energy_uncorrected_ev_per_atom": 1.183,
  "dft_energy_ev_per_atom": -4.021,
  "dos_ef_per_ev_atom": 0.771
}

***

# 16
{
  "formula": "BeHgOF2",
  "functional": "PBEsol",
  "state": "relaxed",
  "lattice": [[4.1524, 0.0000, 0.0000], [0.0000, 4.3863, 0.0000], [0.0000, 0.0000, 4.3863]],
  "species": ["Be", "Hg", "F", "F", "O"],
  "fractional_positions": [[0.5000, 0.5000, 0.5000], [0.0000, 0.0000, 0.0000], [0.0000, 0.0000, 0.5000], [0.0000, 0.5000, 0.0000], [0.5000, 0.0000, 0.0000]],
  "formation_energy_uncorrected_ev_per_atom": -0.082,
  "dft_energy_ev_per_atom": -2.816,
  "dos_ef_per_ev_atom": 0.418
}